# Tb2NdAl

A relaxed Tb2NdAl crystal (GGA-PBE, the Alexandria database).

Fermi-level density of states in states/eV/cell: 7.87
Excess energy over the best structure of this formula in the dataset in kJ/mol of atoms: 0.20
Total energy in eV for the cell shown: -37.0
Calculated volume in A^3/atom: 27.95

Cell and atoms, written as POSCAR:
```
Tb2NdAl
1.0
-3.1303 4.1441 -1.1745
-3.5445 -1.0033 5.9070
5.5613 4.1872 -0.0481
Tb Nd Al
4 2 2
Direct
0.5000 0.1767 0.8233
0.0000 0.3535 0.1743
0.0000 0.8257 0.6465
0.0000 0.8244 0.1756
0.5000 0.6459 0.8228
0.5000 0.1772 0.3541
0.5000 0.6675 0.3325
0.0000 0.3294 0.6706
```